(1)
## PrSmLu2 (PBE)

Data for a relaxed PrSmLu2 crystal.

Properties
Calculated total energy, eV/cell: -18.43
ΔE to the lowest computed polymorph, eV/atom: 0.002
Energy of formation from the pure elements, eV/atom: 0.028

Cell lengths 4.938, 5.089, 5.089 Å; angles 90.00, 90.00, 90.00 degrees
Fractional positions:
Lu1 0.000 0.000 0.500
Lu2 0.000 0.500 0.000
Sm1 0.500 0.000 0.000
Pr1 0.500 0.500 0.500

=====

(2)
## Zn2TcOs (PBE)

Data for a relaxed Zn2TcOs crystal.

Properties
Calculated total energy, eV/cell: -23.38
ΔE to the lowest computed polymorph, eV/atom: 0.209
Energy of formation from the pure elements, eV/atom: 0.192

Cell lengths 8.931, 8.931, 8.931 Å; angles 17.68, 17.68, 17.68 degrees
Fractional positions:
Zn1 0.500 0.500 0.500
Zn2 0.000 0.000 0.000
Tc1 0.750 0.750 0.750
Os1 0.250 0.250 0.250

=====

(3)
## IrW2Au (PBE)

Data for a relaxed IrW2Au crystal.

Properties
Calculated total energy, eV/cell: -37.42
ΔE to the lowest computed polymorph, eV/atom: 0.054
Energy of formation from the pure elements, eV/atom: 0.155

Cell lengths 4.873, 4.873, 4.963 Å; angles 80.53, 80.53, 33.48 degrees
Fractional positions:
W1 0.255 0.255 0.250
W2 0.003 0.003 0.984
Ir1 0.741 0.741 0.772
Au1 0.501 0.501 0.494

=====

(4)
## CsKMg2Tl (PBE)

Data for a relaxed CsKMg2Tl crystal.

Properties
Calculated total energy, eV/cell: -6.86
Energy of formation from the pure elements, eV/atom: 0.129

Cell lengths 5.815, 5.815, 6.733 Å; angles 90.00, 90.00, 90.00 degrees
Fractional positions:
Mg1 0.000 0.500 0.000
Mg2 0.500 0.000 0.000
K1 0.000 0.000 0.500
Cs1 0.500 0.500 0.500
Tl1 0.000 0.000 0.000

=====

(5)
## YZr3 (PBE)

Data for a relaxed YZr3 crystal.

Properties
Calculated total energy, eV/cell: -31.31
ΔE to the lowest computed polymorph, eV/atom: 0.146
Energy of formation from the pure elements, eV/atom: 0.199

Cell lengths 5.186, 5.186, 5.186 Å; angles 60.00, 60.00, 60.00 degrees
Fractional positions:
Zr1 0.500 0.500 0.500
Zr2 0.750 0.750 0.750
Zr3 0.250 0.250 0.250
Y1 0.000 0.000 0.000

=====

(6)
## RbNaCdCl4 (PBE)

Data for a relaxed RbNaCdCl4 crystal.

Properties
Calculated total energy, eV/cell: -42.45
Formation energy (no corrections), eV/atom: -1.52

Cell lengths 7.229, 7.298, 8.868 Å; angles 90.00, 106.59, 90.00 degrees
Fractional positions:
Cl1 0.004 0.000 0.286
Cl2 0.004 0.500 0.286
Cl3 0.442 0.750 0.142
Cl4 0.503 0.750 0.592
Cl5 0.497 0.250 0.408
Cl6 0.558 0.250 0.858
Cl7 0.996 0.000 0.714
Cl8 0.996 0.500 0.714
Rb1 0.761 0.750 0.951
Rb2 0.239 0.250 0.049
Na1 0.802 0.750 0.450
Na2 0.198 0.250 0.550
Cd1 0.745 0.250 0.663
Cd2 0.255 0.750 0.337

=====

(7)
## NaDy2USe5 (PBE)

Data for a relaxed NaDy2USe5 crystal.

Properties
Calculated total energy, eV/cell: -51.01
Formation energy (no corrections), eV/atom: -1.31

Cell lengths 5.248, 7.309, 8.419 Å; angles 115.73, 108.16, 90.00 degrees
Site moments in Bohr magnetons follow the coordinates.
Fractional positions:
U1 0.500 0.000 0.000  2.33
Se1 0.654 0.911 0.308  -0.02
Se2 0.000 0.000 0.000  -0.03
Se3 0.654 0.397 0.308  -0.02
Se4 0.346 0.603 0.692  -0.02
Se5 0.346 0.089 0.692  -0.02
Dy1 0.201 0.201 0.402  0.08
Dy2 0.799 0.799 0.598  0.08
Na1 0.000 0.500 0.000  0.01

=====

(8)
## Ca2AcPaAs4 (PBE)

Data for a relaxed Ca2AcPaAs4 crystal.

Properties
Calculated total energy, eV/cell: -46.03
Energy of formation from the pure elements, eV/atom: -1.228

Cell lengths 4.335, 7.531, 7.330 Å; angles 109.82, 90.00, 90.00 degrees
Fractional positions:
As1 0.500 0.225 0.234
As2 0.500 0.775 0.766
As3 0.000 0.774 0.243
As4 0.000 0.226 0.757
Ca1 0.500 0.000 0.500
Ca2 0.000 0.500 0.500
Ac1 0.500 0.500 0.000
Pa1 0.000 0.000 0.000

=====

(9)
## CeScSe2N (PBE)

Data for a relaxed CeScSe2N crystal.

Properties
Calculated total energy, eV/cell: -71.46
Formation energy (no corrections), eV/atom: -1.63

Cell lengths 3.924, 3.924, 13.958 Å; angles 90.00, 90.00, 90.00 degrees
Fractional positions:
Sc1 0.000 0.500 0.884
Sc2 0.500 0.000 0.116
Se1 0.000 0.500 0.705
Se2 0.000 0.500 0.090
Se3 0.500 0.000 0.295
Se4 0.500 0.000 0.910
N1 0.500 0.500 0.500
N2 0.000 0.000 0.500
Ce1 0.500 0.000 0.583
Ce2 0.000 0.500 0.417

=====

(10)
## UCu2Cl8 (PBE)

Data for a relaxed UCu2Cl8 crystal.

Properties
Calculated total energy, eV/cell: -91.62
ΔE to the lowest computed polymorph, eV/atom: 0.004
Formation energy (no corrections), eV/atom: -1.05

Cell lengths 7.478, 10.686, 10.568 Å; angles 87.55, 69.28, 69.52 degrees
Site moments in Bohr magnetons follow the coordinates.
Fractional positions:
Cl1 0.158 0.619 0.013  0.00
Cl2 0.790 0.881 0.487  0.00
Cl3 0.754 0.740 0.834  0.11
Cl4 0.291 0.096 0.831  -0.01
Cl5 0.328 0.760 0.666  0.11
Cl6 0.183 0.904 0.176  -0.03
Cl7 0.709 0.904 0.169  -0.01
Cl8 0.842 0.381 0.987  0.00
Cl9 0.817 0.096 0.824  -0.03
Cl10 0.246 0.260 0.166  0.11
Cl11 0.737 0.404 0.676  -0.03
Cl12 0.263 0.596 0.324  -0.03
Cl13 0.210 0.119 0.513  0.00
Cl14 0.219 0.404 0.669  -0.01
Cl15 0.672 0.240 0.334  0.11
Cl16 0.781 0.596 0.331  -0.01
U1 0.008 0.250 0.750  0.82
U2 0.992 0.750 0.250  0.82
Cu1 0.129 0.246 0.015  0.15
Cu2 0.390 0.254 0.485  0.15
Cu3 0.871 0.754 0.985  0.15
Cu4 0.610 0.746 0.515  0.15

=====

(11)
## Mg3Pd4 (PBE)

Data for a relaxed Mg3Pd4 crystal.

Properties
Calculated total energy, eV/cell: -29.27
ΔE to the lowest computed polymorph, eV/atom: 0.148
Energy of formation from the pure elements, eV/atom: -0.530

Cell lengths 4.374, 4.374, 7.598 Å; angles 73.27, 73.27, 60.00 degrees
Fractional positions:
Mg1 0.000 0.000 0.000
Mg2 0.753 0.753 0.742
Mg3 0.247 0.247 0.258
Pd1 0.874 0.874 0.379
Pd2 0.377 0.377 0.869
Pd3 0.126 0.126 0.621
Pd4 0.623 0.623 0.131

=====

(12)
## Hf2SiSbH (PBE)

Data for a relaxed Hf2SiSbH crystal.

Properties
Calculated total energy, eV/cell: -24.11

Cell lengths 5.335, 5.043, 5.335 Å; angles 90.00, 90.00, 90.00 degrees
Fractional positions:
H1 0.500 0.500 0.500
Sb1 0.000 0.000 0.000
Si1 0.000 0.500 0.000
Hf1 0.000 0.000 0.500
Hf2 0.500 0.000 0.000

=====

(13)
## Al4P (PBE)

Data for a relaxed Al4P crystal.

Properties
Calculated total energy, eV/cell: -18.98
ΔE to the lowest computed polymorph, eV/atom: 0.192
Energy of formation from the pure elements, eV/atom: 0.281

Cell lengths 7.461, 7.461, 7.461 Å; angles 152.16, 152.16, 39.78 degrees
Fractional positions:
Al1 0.750 0.250 0.500
Al2 0.592 0.592 0.000
Al3 0.250 0.750 0.500
Al4 0.408 0.408 0.000
P1 0.000 0.000 0.000

=====

(14)
## Y3TePb (PBE)

Data for a relaxed Y3TePb crystal.

Properties
Calculated total energy, eV/cell: -57.48
ΔE to the lowest computed polymorph, eV/atom: 0.000
Formation energy (no corrections), eV/atom: -0.50

Cell lengths 4.368, 8.856, 10.501 Å; angles 108.04, 90.05, 104.26 degrees
Fractional positions:
Y1 0.180 0.359 0.560
Y2 0.984 0.968 0.831
Y3 0.820 0.641 0.440
Y4 0.353 0.706 0.950
Y5 0.016 0.032 0.169
Y6 0.647 0.294 0.050
Te1 0.836 0.671 0.160
Te2 0.164 0.329 0.840
Pb1 0.372 0.744 0.654
Pb2 0.628 0.256 0.346

=====

(15)
## BeCuSe2 (PBE)

Data for a relaxed BeCuSe2 crystal.

Properties
Calculated total energy, eV/cell: -15.68
Formation energy (no corrections), eV/atom: -0.22

Cell lengths 5.235, 4.077, 4.077 Å; angles 59.97, 90.00, 90.00 degrees
Fractional positions:
Se1 0.500 0.459 0.459
Se2 0.000 0.791 0.791
Be1 0.000 0.458 0.458
Cu1 0.500 0.792 0.792

=====

(16)
## CaReRh4 (PBE)

Data for a relaxed CaReRh4 crystal.

Properties
Calculated total energy, eV/cell: -42.50
Energy of formation from the pure elements, eV/atom: 0.225

Cell lengths 5.181, 5.181, 5.181 Å; angles 60.00, 60.00, 60.00 degrees
Site moments in Bohr magnetons follow the coordinates.
Fractional positions:
Re1 0.000 0.000 0.000  1.04
Ca1 0.750 0.750 0.750  0.02
Rh1 0.875 0.375 0.375  0.10
Rh2 0.375 0.375 0.875  0.10
Rh3 0.375 0.875 0.375  0.10
Rh4 0.375 0.375 0.375  0.10

=====

(17)
## MnPCSeN (PBE)

Data for a relaxed MnPCSeN crystal.

Properties
Calculated total energy, eV/cell: -33.22
ΔE to the lowest computed polymorph, eV/atom: 0.262
Formation energy (no corrections), eV/atom: 0.48

Cell lengths 3.483, 4.180, 4.389 Å; angles 76.84, 86.21, 74.16 degrees
Site moments in Bohr magnetons follow the coordinates.
Fractional positions:
Mn1 0.003 0.114 0.991  1.05
C1 0.525 0.050 0.738  -0.02
P1 0.914 0.684 0.724  -0.03
N1 0.100 0.723 0.356  0.01
Se1 0.417 0.294 0.302  -0.01

=====

(18)
## Pm3Zn2Cu (PBE)

Data for a relaxed Pm3Zn2Cu crystal.

Properties
Calculated total energy, eV/cell: -22.46
ΔE to the lowest computed polymorph, eV/atom: 0.003
Energy of formation from the pure elements, eV/atom: -0.261

Cell lengths 5.125, 5.125, 6.316 Å; angles 90.00, 90.00, 120.00 degrees
Fractional positions:
Pm1 0.000 0.000 0.500
Pm2 0.667 0.333 0.843
Pm3 0.333 0.667 0.157
Cu1 0.000 0.000 0.000
Zn1 0.333 0.667 0.655
Zn2 0.667 0.333 0.345

=====

(19)
## Ce4ErTm (PBE)

Data for a relaxed Ce4ErTm crystal.

Properties
Calculated total energy, eV/cell: -31.50
Energy of formation from the pure elements, eV/atom: 0.212

Cell lengths 6.284, 6.284, 6.284 Å; angles 60.00, 60.00, 60.00 degrees
Site moments in Bohr magnetons follow the coordinates.
Fractional positions:
Ce1 0.124 0.625 0.625  0.72
Ce2 0.625 0.625 0.124  0.72
Ce3 0.625 0.124 0.625  0.72
Ce4 0.625 0.625 0.625  0.72
Er1 0.250 0.250 0.250  0.09
Tm1 0.000 0.000 0.000  0.09

=====

(20)
## MgSc2Co9 (PBE)

Data for a relaxed MgSc2Co9 crystal.

Properties
Calculated total energy, eV/cell: -80.00
Energy of formation from the pure elements, eV/atom: -0.149

Cell lengths 4.829, 4.829, 8.384 Å; angles 73.26, 73.26, 60.00 degrees
Site moments in Bohr magnetons follow the coordinates.
Fractional positions:
Co1 0.586 0.078 0.749  1.41
Co2 0.586 0.586 0.749  1.41
Co3 0.922 0.414 0.251  1.41
Co4 0.665 0.665 0.006  1.63
Co5 0.078 0.586 0.749  1.41
Co6 0.414 0.414 0.251  1.41
Co7 0.414 0.922 0.251  1.41
Co8 0.500 0.500 0.500  1.35
Co9 0.335 0.335 0.994  1.63
Mg1 0.000 0.000 0.000  -0.01
Sc1 0.861 0.861 0.417  -0.33
Sc2 0.139 0.139 0.583  -0.33

=====

(21)
## KZr2Be2 (PBE)

Data for a relaxed KZr2Be2 crystal.

Properties
Calculated total energy, eV/cell: -21.99
ΔE to the lowest computed polymorph, eV/atom: 0.187
Energy of formation from the pure elements, eV/atom: 0.730

Cell lengths 4.223, 4.223, 7.764 Å; angles 74.22, 74.22, 90.00 degrees
Fractional positions:
Zr1 0.250 0.750 0.500
Zr2 0.750 0.250 0.500
Be1 0.638 0.638 0.724
Be2 0.362 0.362 0.276
K1 0.000 0.000 0.000

=====

(22)
## SrYPt (PBE)

Data for a relaxed SrYPt crystal.

Properties
Calculated total energy, eV/cell: -16.07
ΔE to the lowest computed polymorph, eV/atom: 0.104
Energy of formation from the pure elements, eV/atom: -0.627

Cell lengths 5.032, 5.032, 5.032 Å; angles 60.00, 60.00, 60.00 degrees
Fractional positions:
Y1 0.500 0.500 0.500
Pt1 0.750 0.750 0.750
Sr1 0.000 0.000 0.000

=====

(23)
## Li5In6Ga (PBE)

Data for a relaxed Li5In6Ga crystal.

Properties
Calculated total energy, eV/cell: -31.57
Energy of formation from the pure elements, eV/atom: -0.212

Cell lengths 4.369, 8.445, 8.236 Å; angles 120.84, 105.37, 90.01 degrees
Fractional positions:
In1 0.500 0.261 0.000
In2 0.168 0.912 0.337
In3 0.832 0.088 0.663
In4 0.832 0.575 0.663
In5 0.168 0.425 0.337
In6 0.500 0.739 0.000
Li1 0.345 0.845 0.690
Li2 0.331 0.331 0.662
Li3 0.655 0.155 0.310
Li4 0.669 0.669 0.338
Li5 0.000 0.500 0.000
Ga1 0.000 0.000 0.000